The following is a PBE calculation of a relaxed structure of Er2Ti2ZnRh5, from Alexandria via LeMat-Bulk.

Summary:
Total DFT energy (no corrections) = -0.5065 Ry per atom
Formation energy from the elements = -57.5 kJ/mol of atoms
D(E_F) = 12.9 states/eV per cell
Space-group type = P4/mbm (127)

Lattice parameters (Å, degrees): 3.252 10.291 10.291 90.00 90.00 90.00
Positions (direct):
Er (0.000, 0.673, 0.173)
Er (0.000, 0.327, 0.827)
Er (0.000, 0.173, 0.327)
Er (0.000, 0.827, 0.673)
Ti (0.000, 0.131, 0.631)
Ti (0.000, 0.869, 0.369)
Ti (0.000, 0.631, 0.869)
Ti (0.000, 0.369, 0.131)
Zn (0.000, 0.000, 0.000)
Zn (0.000, 0.500, 0.500)
Rh (0.500, 0.199, 0.058)
Rh (0.500, 0.801, 0.942)
Rh (0.500, 0.058, 0.801)
Rh (0.500, 0.699, 0.442)
Rh (0.500, 0.942, 0.199)
Rh (0.500, 0.301, 0.558)
Rh (0.500, 0.558, 0.699)
Rh (0.500, 0.442, 0.301)
Rh (0.500, 0.500, 0.000)
Rh (0.500, 0.000, 0.500)